10
Lattice="-2.656 -8.361 -2.237 7.441 -1.011 -5.057 1.944 -1.461 3.153" Properties=species:S:1:pos:R:3 comment="CsHg2Te2 (PBE-GGA, optimized geometry)" magnetic_moment_mub_per_fu=0.000 de_polymorph_mev_per_atom=179 dos_ef_per_ev_fu=2.5 e_form_raw_ev_per_atom=-0.225 pbc="T T T"
Cs 2.392 -4.686 -3.647
Te 5.509 -2.836 -2.198
Te 5.361 -7.177 -4.118
Hg 2.338 -7.939 -5.121
Hg 5.509 -4.009 -5.256
Hg -0.725 -5.363 -2.039
Te 1.368 -3.656 -0.024
Te 1.220 -7.997 -1.944
Hg 2.447 -1.433 -2.173
Cs 0.000 0.000 0.000